(1)
A plane-wave DFT calculation with PBE was carried out for an optimized crystal structure of RbGeB.

The structure belongs to space group P6_3/mmc (No. 194); the cell edges are 3.6416, 3.6416 and 11.3888 Å and the angles 90.00°, 90.00° and 120.00°. The inequivalent atoms are Rb at (0.0000, 0.0000, 0.0000), Ge at (0.3333, 0.6667, 0.2500) and B at (0.3333, 0.6667, 0.7500).

The calculation puts the volume at 65.40 Å³/f.u. For the density of states at the Fermi level, the calculation gives 0.00 states/eV per atom.

***

(2)
A plane-wave DFT calculation with PBE was carried out for an optimized crystal structure of RbGeB.

The structure belongs to space group Cmmm (No. 65); the cell edges are 5.834, 11.118 and 4.858 Å and the angles 90.00°, 90.00° and 90.00°. The inequivalent atoms are Rb at (0.000, 0.157, 0.000), Ge at (0.000, 0.382, 0.500) and B at (0.000, 0.500, 0.163).

The calculation puts the volume at 78.78 Å³/f.u. For the density of states at the Fermi level, the calculation gives 0.32 states/eV per atom.

***

Number 1: DFT formation energy 0.2452 eV/atom, energy -3.842 eV per atom. Number 2: DFT formation energy 0.2256 eV/atom, energy -3.862 eV per atom.